1.
# Cs2Ba2OsO6, relaxed, DFT PBE
# total energy: -5.95 eV per atom
data_Cs2Ba2OsO6
_chemical_formula_sum 'Cs4 Ba4 Os2 O12'
_cell_length_a 6.5442
_cell_length_b 10.9832
_cell_length_c 7.1079
_cell_angle_alpha 90.00
_cell_angle_beta 103.67
_cell_angle_gamma 90.00
_space_group_name_H-M_alt 'C 1 2/m 1'
_space_group_IT_number 12
loop_
_space_group_symop_operation_xyz
'x,y,z'
'-x,-y,-z'
'-x,y,-z'
'x,-y,z'
'x+1/2,y+1/2,z'
'-x+1/2,-y+1/2,-z'
'-x+1/2,y+1/2,-z'
'x+1/2,-y+1/2,z'
loop_
_atom_site_label
_atom_site_type_symbol
_atom_site_fract_x
_atom_site_fract_y
_atom_site_fract_z
_atom_site_occupancy
Cs1 Cs 0.0000 0.1624 0.0000 1
Ba1 Ba 0.0000 0.3378 0.5000 1
Os1 Os 0.0000 0.0000 0.5000 1
O1 O 0.1711 0.1294 0.6566 1
O2 O 0.1981 0.0000 0.3280 1

---

2.
# Ce4C2N, relaxed, DFT PBE
# energy above the most stable polymorph in this dataset: 0.000 eV/atom
data_Ce4C2N
_chemical_formula_sum 'Ce12 C6 N3'
_cell_length_a 3.5863
_cell_length_b 3.5863
_cell_length_c 36.7865
_cell_angle_alpha 90.00
_cell_angle_beta 90.00
_cell_angle_gamma 120.00
_space_group_name_H-M_alt 'R -3 m'
_space_group_IT_number 166
_space_group_name_Hall '-R 3 2"'
loop_
_atom_site_label
_atom_site_type_symbol
_atom_site_fract_x
_atom_site_fract_y
_atom_site_fract_z
_atom_site_occupancy
Ce1 Ce 0.0000 0.0000 0.1190 1
Ce2 Ce 0.0000 0.0000 0.2940 1
C1 C 0.0000 0.0000 0.4175 1
N1 N 0.0000 0.0000 0.0000 1

---

3.
# ReBF3, relaxed, DFT PBE
# energy above the most stable polymorph in this dataset: 0.000 eV/atom
data_ReBF3
_chemical_formula_sum 'Re1 B1 F3'
_cell_length_a 4.1488
_cell_length_b 4.1488
_cell_length_c 4.1488
_cell_angle_alpha 90.00
_cell_angle_beta 90.00
_cell_angle_gamma 90.00
_space_group_name_H-M_alt 'P m -3 m'
_space_group_IT_number 221
_space_group_name_Hall '-P 4 2 3'
loop_
_atom_site_label
_atom_site_type_symbol
_atom_site_fract_x
_atom_site_fract_y
_atom_site_fract_z
_atom_site_occupancy
Re1 Re 0.0000 0.0000 0.0000 1
B1 B 0.5000 0.5000 0.5000 1
F1 F 0.0000 0.0000 0.5000 1

---

4.
# Sc2TaCr, relaxed, DFT PBE
# E_form: 0.259 eV per atom
# energy above the most stable polymorph in this dataset: 0.137 eV/atom
data_Sc2TaCr
_chemical_formula_sum 'Sc4 Ta2 Cr2'
_cell_length_a 3.3832
_cell_length_b 4.8894
_cell_length_c 9.2759
_cell_angle_alpha 90.00
_cell_angle_beta 90.00
_cell_angle_gamma 90.00
_space_group_name_H-M_alt 'C m m 2'
_space_group_IT_number 35
loop_
_space_group_symop_operation_xyz
'x,y,z'
'-x,-y,z'
'-x,y,z'
'x,-y,z'
'x+1/2,y+1/2,z'
'-x+1/2,-y+1/2,z'
'-x+1/2,y+1/2,z'
'x+1/2,-y+1/2,z'
loop_
_atom_site_label
_atom_site_type_symbol
_atom_site_fract_x
_atom_site_fract_y
_atom_site_fract_z
_atom_site_occupancy
Sc1 Sc 0.0000 0.0000 0.0000 1
Sc2 Sc 0.0000 0.5000 0.3150 1
Ta1 Ta 0.0000 0.0000 0.5826 1
Cr1 Cr 0.0000 0.5000 0.7781 1

---

For each record above, in turn, the calculated calculated density values are 5.5; 7.3; 5.9; 7.0 Mg/m³.
For each record above, in turn, the calculated density of states at the Fermi level values are 8.25; 11.30; 4.93; 6.40 states/eV/f.u..